# Rb10Hg4Au PBE-GGA optimized geometry
data_Rb10Hg4Au
_chemical_formula_sum 'Rb10 Hg4 Au1'
_cell_length_a 25.7574
_cell_length_b 25.7574
_cell_length_c 25.7574
_cell_angle_alpha 13.80
_cell_angle_beta 13.80
_cell_angle_gamma 13.80
_space_group_name_H-M_alt 'P 1'
_space_group_IT_number 1
loop_
_space_group_symop_operation_xyz
'x,y,z'
loop_
_atom_site_label
_atom_site_fract_x
_atom_site_fract_y
_atom_site_fract_z
Rb1 0.0467 0.0467 0.0467
Rb2 0.1500 0.1500 0.1500
Rb3 0.2515 0.2515 0.2515
Rb4 0.3473 0.3473 0.3473
Rb5 0.4485 0.4485 0.4485
Rb6 0.5515 0.5515 0.5515
Rb7 0.6527 0.6527 0.6527
Rb8 0.7485 0.7485 0.7485
Rb9 0.8500 0.8500 0.8500
Rb10 0.9533 0.9533 0.9533
Hg1 0.2007 0.2007 0.2007
Hg2 0.3980 0.3980 0.3980
Hg3 0.6020 0.6020 0.6020
Hg4 0.7993 0.7993 0.7993
Au1 0.0000 0.0000 0.0000
# - Calculated formation energy: -0.140 eV/atom
# - Spin magnetization: 0.0 Bohr magnetons per cell